VASP calculation (PBE) on a relaxed structure of CsBi2Rh.

The energy above the lowest structure with this stoichiometry is 0 meV/atom. For the formation energy from the elements, the calculation gives -0.226 eV per atom. Its volume is 137.88 Å³/f.u. Its total magnetic moment is 0.00 μB/atom. The total energy comes out at -4.218 eV/atom.

The structure belongs to space group R-3m (No. 166, hexagonal axes); the cell edges are 4.5411, 4.5411 and 23.1610 Å and the angles 90.00°, 90.00° and 120.00°. The asymmetric unit holds Cs at (0.0000, 0.0000, 0.0000), Bi at (0.0000, 0.0000, 0.2107) and Rh at (0.0000, 0.0000, 0.5000).

VASP calculation (PBE) on a relaxed structure of Zr2Sn2Rh7.

For the formation energy from the elements, the calculation gives -0.300 eV per atom. Its volume is 196.45 Å³/f.u. Its total magnetic moment is 0.00 μB/atom. The total energy comes out at -7.260 eV/atom.

The structure belongs to space group C2/m (No. 12); the cell edges are 10.208, 8.340 and 4.637 Å and the angles 90.00°, 95.53° and 90.00°. The asymmetric unit holds Zr at (0.232, 0.000, 0.281), Sn at (0.000, 0.282, 0.500), Rh at (0.000, 0.500, 0.000), Rh at (0.064, 0.000, 0.780) and Rh at (0.207, 0.327, 0.224).

VASP calculation (PBE) on a relaxed structure of Rb3TbPr2Se6.

Its volume is 396.29 Å³/f.u. Its total magnetic moment is 0.00 μB/atom. The total energy comes out at -4.900 eV/atom.

The structure belongs to space group C2/m (No. 12); the cell edges are 7.552, 13.080 and 8.410 Å and the angles 90.00°, 107.44° and 90.00°. The asymmetric unit holds Rb at (0.000, 0.000, 0.000), Rb at (0.000, 0.332, 0.000), Tb at (0.000, 0.500, 0.500), Pr at (0.000, 0.166, 0.500), Se at (0.229, 0.338, 0.700) and Se at (0.242, 0.000, 0.700).